Record 1
NpHg3Cl2O6 after structural relaxation, computed with PBE.

Cell: 7.8010 7.8010 5.6376 Å, 90.71 90.71 51.93°
Last column: nearest neighbours and their distance in Å.
Sites, in units of the cell vectors:
Np 0.0000 0.0000 0.0000  4 O 1.87
Hg 0.0000 0.5000 0.0000  2 O 2.04
Hg 0.5000 0.0000 0.0000  2 O 2.04
Hg 0.5000 0.5000 0.5000  2 Cl 2.40, 4 O 2.57
Cl 0.3294 0.3294 0.4748  1 Hg 2.40
Cl 0.6706 0.6706 0.5252  1 Hg 2.40
O 0.1710 0.1710 0.9746  2 Hg 2.04
O 0.1889 0.7958 0.7697  1 Np 1.87
O 0.2042 0.8111 0.2303  1 Np 1.87
O 0.7958 0.1889 0.7697  1 Np 1.87
O 0.8111 0.2042 0.2303  1 Np 1.87
O 0.8290 0.8290 0.0254  2 Hg 2.04

Output
Total energy   -5.024 eV/atom
SG   C2/m
E_form (uncorrected)   -1083 meV per atom



Record 2
TlNiAg2 after structural relaxation, computed with PBE.

Cell: 4.8306 4.8306 4.8306 Å, 126.33 126.33 79.35°
Last column: nearest neighbours and their distance in Å.
Sites, in units of the cell vectors:
Tl 0.0000 0.0000 0.0000  4 Ni 2.87, 8 Ag 2.87-3.08
Ni 0.2500 0.7500 0.5000  4 Tl 2.87, 8 Ag 2.87-3.08
Ag 0.5000 0.5000 0.0000  4 Ni 2.87, 4 Ag 2.87, 4 Tl 3.08
Ag 0.7500 0.2500 0.5000  4 Tl 2.87, 4 Ag 2.87, 4 Ni 3.08

Output
Total energy   -3.215 eV/atom
SG   I-4m2
Energy relative to the elements   0.248 eV/atom
Energy above the lowest structure with this stoichiometry   0.041 eV/atom



Record 3
InSn2Bi after structural relaxation, computed with PBE.

Cell: 3.3753 6.2457 11.1847 Å, 90.00 90.70 90.00°
Last column: nearest neighbours and their distance in Å.
Sites, in units of the cell vectors:
In 0.2121 0.2500 0.3611  4 Bi 3.14-3.35, 2 Sn 3.15-3.29, 2 In 3.38
In 0.7879 0.7500 0.6389  4 Bi 3.14-3.35, 2 Sn 3.15-3.29, 2 In 3.38
Sn 0.2300 0.2500 0.8725  6 Sn 3.13-3.38, 2 Bi 3.29-3.32
Sn 0.2593 0.7500 0.8836  6 Sn 3.13-3.38, 2 In 3.15-3.29
Sn 0.7407 0.2500 0.1164  6 Sn 3.13-3.38, 2 In 3.15-3.29
Sn 0.7700 0.7500 0.1275  6 Sn 3.13-3.38, 2 Bi 3.29-3.32
Bi 0.2862 0.7500 0.3815  4 In 3.14-3.35, 2 Sn 3.29-3.32, 2 Bi 3.38
Bi 0.7138 0.2500 0.6185  4 In 3.14-3.35, 2 Sn 3.29-3.32, 2 Bi 3.38

Output
Total energy   -3.615 eV/atom
SG   P2_1/m
Energy relative to the elements   0.041 eV/atom
Energy above the lowest structure with this stoichiometry   0.000 eV/atom



Record 4
AgHg2HPb after structural relaxation, computed with PBE.

Cell: 5.4473 5.4473 3.6217 Å, 90.00 90.00 90.00°
Last column: nearest neighbours and their distance in Å.
Sites, in units of the cell vectors:
Ag 0.0000 0.0000 0.0000  2 H 1.81
Hg 0.0000 0.5000 0.5000  2 H 2.72
Hg 0.5000 0.0000 0.5000  2 H 2.72
H 0.0000 0.0000 0.5000  2 Ag 1.81
Pb 0.5000 0.5000 0.0000  8 Hg 3.27, 2 Pb 3.62

Output
Total energy   -1.885 eV/atom
SG   P4/mmm



Record 5
AlTl2Os after structural relaxation, computed with PBE.

Cell: 3.6719 4.3290 5.5234 Å, 90.00 109.28 90.00°
Last column: nearest neighbours and their distance in Å.
Sites, in units of the cell vectors:
Al 0.0000 0.0000 0.0000  2 Os 2.49
Tl 0.3959 0.5000 0.7914  3 Os 2.90-2.96, 4 Al 3.04
Tl 0.7206 0.0000 0.4427  3 Al 2.91-2.95, 4 Os 3.04
Os 0.1176 0.5000 0.2359  2 Al 2.49

Output
Total energy   -4.429 eV/atom
SG   Pm
Energy relative to the elements   0.497 eV/atom
Energy above the lowest structure with this stoichiometry   0.258 eV/atom



Record 6
Tb3AlAg after structural relaxation, computed with PBE.

Cell: 8.1710 8.1710 10.5065 Å, 91.29 91.29 49.94°
Last column: nearest neighbours and their distance in Å.
Sites, in units of the cell vectors:
Tb 0.1470 0.2254 0.3277  2 Ag 2.84-3.13, 2 Al 3.14-3.17
Tb 0.1568 0.7523 0.9231  2 Ag 3.10-3.17, 2 Al 3.13-3.34, 2 Tb 3.41-3.45
Tb 0.2254 0.1470 0.8277  2 Ag 2.84-3.13, 2 Al 3.14-3.17
Tb 0.2477 0.8432 0.5769  2 Ag 3.10-3.17, 2 Al 3.13-3.34, 2 Tb 3.41-3.45
Tb 0.3609 0.3934 0.1644  2 Ag 2.99-3.08, 2 Al 3.14-3.22, 1 Tb 3.35
Tb 0.3934 0.3609 0.6644  2 Ag 2.99-3.08, 2 Al 3.14-3.22, 1 Tb 3.35
Tb 0.6066 0.6391 0.3356  2 Ag 2.99-3.08, 2 Al 3.14-3.22, 1 Tb 3.35
Tb 0.6391 0.6066 0.8356  2 Ag 2.99-3.08, 2 Al 3.14-3.22, 1 Tb 3.35
Tb 0.7523 0.1568 0.4231  2 Ag 3.10-3.17, 2 Al 3.13-3.34, 2 Tb 3.41-3.45
Tb 0.7746 0.8530 0.1723  2 Ag 2.84-3.13, 2 Al 3.14-3.17
Tb 0.8432 0.2477 0.0769  2 Ag 3.10-3.17, 2 Al 3.13-3.34, 2 Tb 3.41-3.45
Tb 0.8530 0.7746 0.6723  2 Ag 2.84-3.13, 2 Al 3.14-3.17
Al 0.1079 0.6226 0.4166  1 Ag 2.77
Al 0.3774 0.8921 0.0834  1 Ag 2.77
Al 0.6226 0.1079 0.9166  1 Ag 2.77
Al 0.8921 0.3774 0.5834  1 Ag 2.77
Ag 0.0000 0.5000 0.0000  6 Tb 2.84-3.17
Ag 0.1464 0.8536 0.2500  2 Al 2.77, 4 Tb 3.08-3.10
Ag 0.5000 0.0000 0.5000  6 Tb 2.84-3.17
Ag 0.8536 0.1464 0.7500  2 Al 2.77, 4 Tb 3.08-3.10

Output
Total energy   -4.226 eV/atom
SG   C2/c
Energy relative to the elements   -0.129 eV/atom
Energy above the lowest structure with this stoichiometry   0.115 eV/atom



Record 7
BeAg after structural relaxation, computed with PBE.

Cell: 4.2741 4.2741 4.2741 Å, 60.00 60.00 60.00°
Last column: nearest neighbours and their distance in Å.
Sites, in units of the cell vectors:
Be 0.1250 0.1250 0.1250  4 Be 2.62, 4 Ag 2.62
Be 0.8750 0.8750 0.8750  4 Ag 2.62, 4 Be 2.62
Ag 0.3750 0.3750 0.3750  4 Be 2.62, 4 Ag 2.62
Ag 0.6250 0.6250 0.6250  4 Ag 2.62, 4 Be 2.62

Output
Total energy   -2.899 eV/atom
SG   Fd-3m
Energy relative to the elements   0.389 eV/atom



Record 8
MnPSe2 after structural relaxation, computed with PBE.

Cell: 4.6691 4.6691 3.2839 Å, 90.00 90.00 90.00°
Last column: nearest neighbours and their distance in Å.
Sites, in units of the cell vectors:
Mn 0.0000 0.0000 0.0000  8 Se 2.85
P 0.5000 0.5000 0.0000  8 Se 2.85
Se 0.0000 0.5000 0.5000  4 Mn 2.85, 4 P 2.85
Se 0.5000 0.0000 0.5000  4 Mn 2.85, 4 P 2.85

Output
Total energy   -4.992 eV/atom
SG   P4/mmm
E_form (uncorrected)   395 meV per atom



Record 9
Sm3TmTl after structural relaxation, computed with PBE.

Cell: 8.5451 8.5451 3.6551 Å, 101.36 101.36 37.36°
Last column: nearest neighbours and their distance in Å.
Sites, in units of the cell vectors:
Sm 0.0000 0.0000 0.0000  4 Tl 3.56-3.71, 8 Sm 3.65-3.94, 2 Tm 3.69-3.80
Sm 0.2195 0.2195 0.7083  4 Sm 3.31-3.66, 2 Tl 3.42-3.44, 4 Tm 3.49-3.50
Sm 0.6023 0.6023 0.6043  1 Tl 3.16, 2 Sm 3.31, 2 Tm 3.54
Tm 0.7938 0.7938 0.2801  2 Tl 3.24, 6 Sm 3.49-3.54
Tl 0.4028 0.4028 0.3704  3 Sm 3.16-3.44, 2 Tm 3.24

Output
Total energy   -4.283 eV/atom
SG   Cm
Energy relative to the elements   -0.084 eV/atom
Energy above the lowest structure with this stoichiometry   0.000 eV/atom



Record 10
LaCoBr after structural relaxation, computed with PBE.

Cell: 4.8417 4.8417 4.8417 Å, 60.00 60.00 60.00°
Last column: nearest neighbours and their distance in Å.
Sites, in units of the cell vectors:
La 0.0000 0.0000 0.0000  4 Br 2.96
Co 0.5000 0.5000 0.5000  4 Br 2.96
Br 0.2500 0.2500 0.2500  4 Co 2.96, 4 La 2.96

Output
Total energy   -4.479 eV/atom
SG   F-43m
E_form (uncorrected)   89 meV per atom



Record 11
Cs3ScU2Se6 after structural relaxation, computed with PBE.

Cell: 7.2831 7.2831 8.7508 Å, 97.98 97.98 120.00°
Last column: nearest neighbours and their distance in Å.
Sites, in units of the cell vectors:
Cs 0.0000 0.0000 0.0000  6 Se 3.57-3.65
Cs 0.3321 0.6679 0.0000  6 Se 3.57-3.64
Cs 0.6679 0.3321 0.0000  6 Se 3.57-3.64
Sc 0.5000 0.5000 0.5000  6 Se 2.81-2.82
U 0.1666 0.8334 0.5000  6 Se 2.91
U 0.8334 0.1666 0.5000  6 Se 2.91
Se 0.1161 0.4387 0.3160  1 Sc 2.81, 2 U 2.91
Se 0.2390 0.2390 0.6847  1 Sc 2.82, 2 U 2.91
Se 0.4387 0.1161 0.3160  1 Sc 2.81, 2 U 2.91
Se 0.5613 0.8839 0.6840  1 Sc 2.81, 2 U 2.91
Se 0.7610 0.7610 0.3153  1 Sc 2.82, 2 U 2.91
Se 0.8839 0.5613 0.6840  1 Sc 2.81, 2 U 2.91

Output
Total energy   -5.678 eV/atom
SG   C2/m
E_form (uncorrected)   -1313 meV per atom



Record 12
CeGaAg after structural relaxation, computed with PBE.

Cell: 6.4280 6.4280 6.4280 Å, 150.80 150.80 41.77°
Last column: nearest neighbours and their distance in Å.
Sites, in units of the cell vectors:
Ce 0.0000 0.0000 0.0000  4 Ga 3.13, 4 Ce 3.24, 4 Ag 3.27
Ga 0.3220 0.3220 0.0000  4 Ag 2.76
Ag 0.6937 0.6937 0.0000  4 Ga 2.76

Output
Total energy   -4.167 eV/atom
SG   I4mm
Energy relative to the elements   -0.230 eV/atom